(1)
First-principles (GGA-PBE) data for Nb3InSb after structural relaxation, as listed in Alexandria.

Structure (POSCAR):
```
Nb3InSb
1.0
-4.313 0.615 2.527
-2.369 -2.947 -3.326
1.072 -4.037 2.813
In Nb Sb
1 3 1
Direct
0.000 0.000 0.000 In
0.000 0.500 0.000 Nb
0.500 0.000 0.000 Nb
0.000 0.000 0.500 Nb
0.500 0.500 0.500 Sb
```

- total energy (eV per formula unit) = -28.939
- calculated density (g/cm³) = 6.698
- excess energy over the best structure of this formula in the dataset (kJ/mol of formula units) = 171
- density of states at the Fermi level (states/eV/atom) = 2.014

---

(2)
First-principles (GGA-PBE) data for AcCe2Ga after structural relaxation, as listed in Alexandria.

Structure (POSCAR):
```
AcCe2Ga
1.0
-0.616 -3.653 -1.180
1.719 -1.331 3.223
-7.007 -0.022 3.729
Ce Ac Ga
2 1 1
Direct
0.000 0.000 0.822 Ce
0.000 0.000 0.178 Ce
0.500 0.500 0.500 Ac
0.500 0.500 0.000 Ga
```

- total energy (eV per formula unit) = -19.679
- calculated formation energy (eV/atom) = -0.17
- calculated density (g/cm³) = 7.985
- excess energy over the best structure of this formula in the dataset (kJ/mol of formula units) = 0
- density of states at the Fermi level (states/eV/atom) = 2.772

---

Question: density of states at the Fermi level of number 1 (Nb3InSb)?
Answer: 2.014 states/eV/atom